Entry 1:
A plane-wave DFT calculation with GGA-PBE was carried out for an optimized crystal structure of CsPmCuSe2.

Raw total energy (eV/atom): -4.3597
Formation energy without anion corrections (meV/atom): -1026
M_tot (μB per cell): 0.000
V (Å³ per cell): 337.8

Lattice parameters (Å, degrees): 4.7700 8.5250 8.4133 99.09 90.00 90.00
Atoms (fractional coordinates):
1 Cs 0.1784 0.5000 0.7500
2 Cs 0.8216 0.5000 0.2500
3 Pm 0.4935 0.0000 0.2500
4 Pm 0.5065 0.0000 0.7500
5 Cu 0.0000 0.0000 0.0000
6 Cu 0.0000 0.0000 0.5000
7 Se 0.6877 0.7834 0.9672
8 Se 0.6877 0.2166 0.5328
9 Se 0.3123 0.7834 0.4672
10 Se 0.3123 0.2166 0.0328



Entry 2:
A plane-wave DFT calculation with GGA-PBE was carried out for an optimized crystal structure of AgSn2Au2.

Raw total energy (eV/atom): -3.5466
Energy above the most stable polymorph in this dataset (eV/atom): 0.003
M_tot (μB per cell): 0.000
Formation energy from the elements (eV per atom): -0.0643
V (Å³ per cell): 230.2

Lattice parameters (Å, degrees): 3.8858 7.4938 8.5823 73.12 90.00 105.03
Atoms (fractional coordinates):
1 Ag 0.0000 0.0000 0.2500
2 Ag 0.0000 0.0000 0.7500
3 Sn 0.6632 0.3263 0.1674
4 Sn 0.3368 0.6737 0.3326
5 Sn 0.3368 0.6737 0.8326
6 Sn 0.6632 0.3263 0.6674
7 Au 0.8659 0.7319 0.5681
8 Au 0.1341 0.2681 0.9319
9 Au 0.1341 0.2681 0.4319
10 Au 0.8659 0.7319 0.0681